1.
NaFe2Ag | Alexandria | PBE | optimized geometry; ρ = 5.885 g/cm³; E_form = 793 meV/atom
1.0
-1.0318 1.4651 -3.2344
-0.0127 -3.3697 -1.5223
-10.1357 -2.0723 0.1811
Fe Na Ag
4 2 2
direct
0.6558 0.1250 0.2500 Fe
0.3750 0.3442 0.7500 Fe
0.8750 0.9058 0.7500 Fe
0.0942 0.6250 0.2500 Fe
0.5000 0.5000 0.0000 Na
0.2500 0.7500 0.5000 Na
0.7500 0.2500 0.5000 Ag
0.0000 0.0000 0.0000 Ag



2.
CoIr3Rh12 | Alexandria | PBE | optimized geometry; ρ = 13.793 g/cm³; E_form = 9 meV/atom
1.0
3.8389 0.0000 0.0000
0.0000 3.8389 0.0000
0.0000 0.0000 15.2804
Rh Ir Co
12 3 1
direct
0.5000 0.5000 0.0000 Rh
0.5000 0.5000 0.2484 Rh
0.0000 0.5000 0.1220 Rh
0.5000 0.0000 0.1220 Rh
0.5000 0.5000 0.7516 Rh
0.0000 0.5000 0.8780 Rh
0.5000 0.0000 0.6263 Rh
0.5000 0.5000 0.5000 Rh
0.5000 0.0000 0.3737 Rh
0.5000 0.0000 0.8780 Rh
0.0000 0.5000 0.3737 Rh
0.0000 0.5000 0.6263 Rh
0.0000 0.0000 0.7525 Ir
0.0000 0.0000 0.5000 Ir
0.0000 0.0000 0.2475 Ir
0.0000 0.0000 0.0000 Co